This record from Alexandria describes crystalline SmDy2Er2Mg2 at its relaxed geometry. The functional is PBE.

ΔH_f (0 K), eV/atom: -0.031
E_tot, eV/atom: -3.7795
Spin magnetization, Bohr magnetons per cell: 0.00

Unit cell a=5.4398 b=5.4398 c=8.5841 alpha=71.53 beta=71.53 gamma=60.00
Element x y z (fractional)
1 Sm 0.0000 0.0000 0.0000
2 Dy 0.5721 0.5721 0.2836
3 Dy 0.4279 0.4279 0.7164
4 Er 0.1554 0.1554 0.5339
5 Er 0.8446 0.8446 0.4661
6 Mg 0.7110 0.7110 0.8671
7 Mg 0.2890 0.2890 0.1329


This record from Alexandria describes crystalline Sm2Dy2Er2Mg at its relaxed geometry. The functional is PBE.

ΔH_f (0 K), eV/atom: 0.087
E_tot, eV/atom: -4.1073
Spin magnetization, Bohr magnetons per cell: 0.00

Unit cell a=3.6503 b=6.3126 c=11.5104 alpha=117.74 beta=90.00 gamma=106.81
Element x y z (fractional)
1 Sm 0.5266 0.0533 0.7429
2 Sm 0.4734 0.9467 0.2571
3 Dy 0.6808 0.3615 0.0870
4 Dy 0.3192 0.6385 0.9130
5 Er 0.7453 0.4905 0.6266
6 Er 0.2547 0.5095 0.3734
7 Mg 0.0000 0.0000 0.5000


Which formula does entry 2 have?
Sm2Dy2Er2Mg


Copy entry 2 word for word.
This record from Alexandria describes crystalline Sm2Dy2Er2Mg at its relaxed geometry. The functional is PBE.

ΔH_f (0 K), eV/atom: 0.087
E_tot, eV/atom: -4.1073
Spin magnetization, Bohr magnetons per cell: 0.00

Unit cell a=3.6503 b=6.3126 c=11.5104 alpha=117.74 beta=90.00 gamma=106.81
Element x y z (fractional)
1 Sm 0.5266 0.0533 0.7429
2 Sm 0.4734 0.9467 0.2571
3 Dy 0.6808 0.3615 0.0870
4 Dy 0.3192 0.6385 0.9130
5 Er 0.7453 0.4905 0.6266
6 Er 0.2547 0.5095 0.3734
7 Mg 0.0000 0.0000 0.5000


The highest ΔH_f (0 K) belongs to which entry?
Sm2Dy2Er2Mg